Entry 1:
Compound: Pr4NdDy2Y2
Source: Alexandria via LeMat-Bulk
Functional: PBE-GGA
Structure: relaxed

a b c (Å): 5.145 8.146 8.131
angles (deg): 107.28 90.00 108.41
Fractional positions:
Dy 0.668 0.336 0.999
Dy 0.332 0.664 0.001
Pr 0.223 0.445 0.331
Pr 0.554 0.109 0.331
Pr 0.446 0.891 0.669
Pr 0.777 0.555 0.669
Y 0.112 0.223 0.669
Y 0.888 0.777 0.331
Nd 0.000 0.000 0.000

Values from the calculation:
* DFT formation energy: 16 meV/atom
* space-group type: No. 12
* volume: 307 Å³/cell
* total magnetic moment: 0.0 Bohr magnetons per cell

=====

Entry 2:
Compound: PrNdDyZn
Source: Alexandria via LeMat-Bulk
Functional: PBE-GGA
Structure: relaxed

a b c (Å): 3.648 3.648 8.818
angles (deg): 90.00 90.00 90.00
Fractional positions:
Nd 0.500 0.500 0.777
Pr 0.000 0.000 0.080
Dy 0.500 0.500 0.370
Zn 0.000 0.000 0.559

Values from the calculation:
* DFT formation energy: -154 meV/atom
* space-group type: No. 99
* volume: 117 Å³/cell
* total magnetic moment: 0.0 Bohr magnetons per cell
* ΔE to the lowest computed polymorph: 0 meV per atom

=====

Entry 3:
Compound: PrNdDyZn
Source: Alexandria via LeMat-Bulk
Functional: PBE-GGA
Structure: relaxed

a b c (Å): 5.470 5.470 5.470
angles (deg): 60.00 60.00 60.00
Fractional positions:
Nd 0.750 0.750 0.750
Dy 0.500 0.500 0.500
Pr 0.250 0.250 0.250
Zn 0.000 0.000 0.000

Values from the calculation:
* DFT formation energy: 32 meV/atom
* space-group type: No. 216
* volume: 116 Å³/cell
* total magnetic moment: 0.0 Bohr magnetons per cell
* ΔE to the lowest computed polymorph: 186 meV per atom

=====

Entry 4:
Compound: Nd5DyPt4
Source: Alexandria via LeMat-Bulk
Functional: PBE-GGA
Structure: relaxed

a b c (Å): 4.199 8.138 9.306
angles (deg): 105.52 103.04 90.00
Fractional positions:
Nd 0.500 0.500 0.000
Nd 0.835 0.653 0.669
Nd 0.167 0.857 0.334
Nd 0.833 0.143 0.666
Nd 0.165 0.347 0.331
Pt 0.669 0.107 0.337
Pt 0.001 0.250 0.003
Pt 0.999 0.750 0.997
Pt 0.331 0.893 0.663
Dy 0.500 0.000 0.000

Values from the calculation:
* DFT formation energy: -867 meV/atom
* space-group type: No. 12
* volume: 298 Å³/cell
* total magnetic moment: 0.0 Bohr magnetons per cell

=====

Entry 5:
Compound: Nd3DyPt8
Source: Alexandria via LeMat-Bulk
Functional: PBE-GGA
Structure: relaxed

a b c (Å): 5.497 5.497 9.527
angles (deg): 73.23 73.23 60.00
Fractional positions:
Nd 0.375 0.375 0.875
Nd 0.501 0.501 0.498
Nd 0.999 0.999 0.002
Pt 0.688 0.688 0.937
Pt 0.437 0.936 0.190
Pt 0.936 0.437 0.190
Pt 0.440 0.938 0.685
Pt 0.437 0.437 0.190
Pt 0.938 0.938 0.685
Pt 0.188 0.188 0.437
Pt 0.938 0.440 0.685
Dy 0.875 0.875 0.376

Values from the calculation:
* DFT formation energy: -1075 meV/atom
* space-group type: No. 160
* volume: 235 Å³/cell
* total magnetic moment: 0.0 Bohr magnetons per cell

=====

Entry 6:
Compound: Nd2Dy3Pt4
Source: Alexandria via LeMat-Bulk
Functional: PBE-GGA
Structure: relaxed

a b c (Å): 7.365 7.787 8.696
angles (deg): 90.00 115.05 90.00
Fractional positions:
Pt 0.306 0.451 0.612
Pt 0.284 0.250 0.067
Pt 0.694 0.549 0.388
Pt 0.716 0.750 0.933
Pt 0.784 0.250 0.067
Pt 0.806 0.049 0.612
Pt 0.194 0.951 0.388
Pt 0.216 0.750 0.933
Dy 0.961 0.250 0.423
Dy 0.000 0.000 0.000
Dy 0.500 0.500 0.000
Dy 0.539 0.750 0.577
Dy 0.461 0.250 0.423
Dy 0.039 0.750 0.577
Nd 0.100 0.598 0.200
Nd 0.900 0.402 0.800
Nd 0.600 0.902 0.200
Nd 0.400 0.098 0.800

Values from the calculation:
* DFT formation energy: -1001 meV/atom
* space-group type: No. 64
* volume: 452 Å³/cell
* total magnetic moment: 0.0 Bohr magnetons per cell
* ΔE to the lowest computed polymorph: 143 meV per atom

=====

Entry 7:
Compound: NdDyPt2
Source: Alexandria via LeMat-Bulk
Functional: PBE-GGA
Structure: relaxed

a b c (Å): 4.078 4.078 7.398
angles (deg): 74.00 74.00 60.00
Fractional positions:
Pt 0.080 0.080 0.759
Pt 0.253 0.253 0.241
Dy 0.669 0.669 0.992
Nd 0.497 0.497 0.508

Values from the calculation:
* DFT formation energy: -1032 meV/atom
* space-group type: No. 160
* volume: 101 Å³/cell
* total magnetic moment: 0.0 Bohr magnetons per cell
* ΔE to the lowest computed polymorph: 175 meV per atom

=====

Entry 8:
Compound: NdDy3Pt8
Source: Alexandria via LeMat-Bulk
Functional: PBE-GGA
Structure: relaxed

a b c (Å): 5.472 5.472 8.922
angles (deg): 90.00 90.00 120.00
Fractional positions:
Nd 0.000 0.000 0.567
Pt 0.671 0.835 0.248
Pt 0.165 0.329 0.248
Pt 0.333 0.667 0.500
Pt 0.503 0.497 0.752
Pt 0.995 0.497 0.752
Pt 0.165 0.835 0.248
Pt 0.333 0.667 0.999
Pt 0.503 0.005 0.752
Dy 0.667 0.333 0.063
Dy 0.667 0.333 0.430
Dy 0.000 0.000 0.939

Values from the calculation:
* DFT formation energy: -1053 meV/atom
* space-group type: No. 156
* volume: 231 Å³/cell
* total magnetic moment: 0.0 Bohr magnetons per cell

=====

Entry 9:
Compound: Nd3Dy2Pt2
Source: Alexandria via LeMat-Bulk
Functional: PBE-GGA
Structure: relaxed

a b c (Å): 3.850 6.538 8.874
angles (deg): 101.31 102.52 107.11
Fractional positions:
Dy 0.647 0.479 0.815
Dy 0.353 0.521 0.185
Nd 0.180 0.793 0.567
Nd 0.500 0.000 0.000
Nd 0.820 0.207 0.433
Pt 0.054 0.877 0.233
Pt 0.946 0.123 0.767

Values from the calculation:
* DFT formation energy: -703 meV/atom
* space-group type: No. 2
* volume: 200 Å³/cell
* total magnetic moment: 0.0 Bohr magnetons per cell

=====

Entry 10:
Compound: NdDyPt
Source: Alexandria via LeMat-Bulk
Functional: PBE-GGA
Structure: relaxed

a b c (Å): 3.937 6.371 6.911
angles (deg): 90.00 90.00 108.00
Fractional positions:
Pt 0.123 0.245 0.250
Pt 0.877 0.755 0.750
Dy 0.786 0.571 0.250
Dy 0.214 0.429 0.750
Nd 0.500 0.000 0.000
Nd 0.500 0.000 0.500

Values from the calculation:
* DFT formation energy: -795 meV/atom
* space-group type: No. 63
* volume: 165 Å³/cell
* total magnetic moment: 0.0 Bohr magnetons per cell
* ΔE to the lowest computed polymorph: 54 meV per atom

=====

Entry 11:
Compound: NdDyPt10
Source: Alexandria via LeMat-Bulk
Functional: PBE-GGA
Structure: relaxed

a b c (Å): 4.451 5.400 9.304
angles (deg): 90.00 90.00 90.00
Fractional positions:
Pt 0.500 0.251 0.748
Pt 0.000 0.000 0.336
Pt 0.000 0.500 0.829
Pt 0.000 0.000 0.664
Pt 0.500 0.749 0.252
Pt 0.500 0.749 0.748
Pt 0.500 0.000 0.500
Pt 0.500 0.251 0.252
Pt 0.000 0.500 0.171
Pt 0.500 0.500 0.000
Nd 0.000 0.000 0.000
Dy 0.000 0.500 0.500

Values from the calculation:
* DFT formation energy: -702 meV/atom
* space-group type: No. 47
* volume: 224 Å³/cell
* total magnetic moment: 0.0 Bohr magnetons per cell

=====

Entry 12:
Compound: NdDyPt2
Source: Alexandria via LeMat-Bulk
Functional: PBE-GGA
Structure: relaxed

a b c (Å): 3.851 4.523 5.700
angles (deg): 90.00 109.79 90.00
Fractional positions:
Pt 0.169 0.500 0.878
Pt 0.994 0.000 0.527
Nd 0.721 0.000 0.982
Dy 0.446 0.500 0.432

Values from the calculation:
* DFT formation energy: -1207 meV/atom
* space-group type: No. 38
* volume: 93 Å³/cell
* total magnetic moment: 0.0 Bohr magnetons per cell
* ΔE to the lowest computed polymorph: 0 meV per atom